Here is Hg4I2F after structural relaxation from Alexandria via LeMat-Bulk. Energies are from PBE.

Values from the calculation:
**E**: -1.1450 eV per atom
**Space group**: No. 139
**E_form (uncorrected)**: -0.2623 eV/atom
**Calculated volume**: 38.500 A^3/atom

Cell lengths 5.0392, 5.0392, 11.1952 Å; angles 76.99, 76.99, 90.00 degrees
Element x y z (fractional)
I  0.4090  0.4090  0.1820
Hg  0.5000  0.0000  0.0000
Hg  0.0000  0.5000  0.0000
F  0.0000  0.0000  0.0000
Hg  0.7762  0.7762  0.4476
I  0.5910  0.5910  0.8180
Hg  0.2238  0.2238  0.5524